Entry 1:
! Ba3HfCr (PBE, relaxed); values from VASP
&SYSTEM
  ibrav = 0, nat = 5, ntyp = 3
/
ATOMIC_SPECIES
Ba 137.33 Ba.upf
Cr 52.00 Cr.upf
Hf 178.49 Hf.upf
ATOMIC_POSITIONS crystal
Ba 0.000 0.000 0.500
Ba 0.500 0.000 0.000
Ba 0.000 0.500 0.000
Cr 0.000 0.000 0.000
Hf 0.500 0.500 0.500
CELL_PARAMETERS angstrom
6.174 0.000 0.000
0.000 6.174 0.000
0.000 0.000 6.174
! Distance to the lowest polymorph of the same formula: 0.000 eV per atom
! Formation energy from the elements: 5.89 eV per formula unit

=====

Entry 2:
! BaHfCr3 (PBE, relaxed); values from VASP
&SYSTEM
  ibrav = 0, nat = 5, ntyp = 3
/
ATOMIC_SPECIES
Hf 178.49 Hf.upf
Cr 52.00 Cr.upf
Ba 137.33 Ba.upf
ATOMIC_POSITIONS crystal
Hf 0.500 0.500 0.500
Cr 0.000 0.500 0.000
Cr 0.500 0.000 0.000
Cr 0.000 0.000 0.500
Ba 0.000 0.000 0.000
CELL_PARAMETERS angstrom
4.901 0.000 0.000
0.000 4.901 0.000
0.000 0.000 4.901
! Distance to the lowest polymorph of the same formula: 1.060 eV per atom
! Formation energy from the elements: 11.60 eV per formula unit